7
Lattice="3.075 0.000 0.000 0.000 5.428 -0.131 -1.538 -2.795 4.790" Properties=species:S:1:pos:R:3 comment="PBE+U Mn2GeO4, optimized geometry" e_tot_ev_per_atom=-7.20 sg="C2/m (12)" polymorph_energy_mev_per_atom=149 pbc="T T T"
O 0.000 3.966 0.996
O 1.538 0.745 1.111
O 0.000 1.889 3.548
Ge 0.000 0.000 0.000
Mn 0.000 -0.122 2.961
Mn 1.538 2.756 1.698
O 1.538 -1.332 3.663